[1]
# Tb3Ce2Se4 PBE-GGA optimized geometry
data_Tb3Ce2Se4
_cell_length_a 4.0475
_cell_length_b 7.0609
_cell_length_c 9.2278
_cell_angle_alpha 74.81
_cell_angle_beta 77.33
_cell_angle_gamma 73.34
_symmetry_space_group_name_H-M 'P 1'
_symmetry_Int_Tables_number 1
loop_
_symmetry_equiv_pos_as_xyz
'x,y,z'
loop_
_atom_site_label
_atom_site_type_symbol
_atom_site_fract_x
_atom_site_fract_y
_atom_site_fract_z
Se1 Se 0.1945 0.9093 0.7017
Se2 Se 0.6043 0.6955 0.0959
Se3 Se 0.3957 0.3045 0.9041
Se4 Se 0.8055 0.0907 0.2983
Tb1 Tb 0.7964 0.6087 0.7985
Tb2 Tb 0.2036 0.3913 0.2015
Tb3 Tb 0.0000 0.0000 0.0000
Ce1 Ce 0.5929 0.2225 0.5916
Ce2 Ce 0.4071 0.7775 0.4084
# **Space-group type**: C2/m, No. 12
# **M_tot**: 0.275 μB/atom


[2]
# Tb4Ce2Se9 PBE-GGA optimized geometry
data_Tb4Ce2Se9
_cell_length_a 7.3320
_cell_length_b 7.3348
_cell_length_c 19.6559
_cell_angle_alpha 90.02
_cell_angle_beta 90.04
_cell_angle_gamma 60.06
_symmetry_space_group_name_H-M 'P 1'
_symmetry_Int_Tables_number 1
loop_
_symmetry_equiv_pos_as_xyz
'x,y,z'
loop_
_atom_site_label
_atom_site_type_symbol
_atom_site_fract_x
_atom_site_fract_y
_atom_site_fract_z
Se1 Se 0.6933 0.0004 0.7501
Se2 Se 0.3742 0.6523 0.4158
Se3 Se 0.3069 0.6926 0.7504
Se4 Se 0.3768 0.9717 0.9161
Se5 Se 0.9724 0.3760 0.4163
Se6 Se 0.3067 0.9996 0.2499
Se7 Se 0.9990 0.6932 0.2501
Se8 Se 0.0280 0.3464 0.0837
Se9 Se 0.0010 0.3068 0.7499
Se10 Se 0.6931 0.3074 0.2496
Se11 Se 0.6258 0.3477 0.5842
Se12 Se 0.6232 0.0283 0.0839
Se13 Se 0.3488 0.0266 0.5841
Se14 Se 0.9720 0.6536 0.9163
Se15 Se 0.6512 0.9734 0.4159
Se16 Se 0.0276 0.6240 0.5837
Se17 Se 0.3483 0.6237 0.0840
Se18 Se 0.6517 0.3763 0.9160
Tb1 Tb 0.3324 0.3336 0.1831
Tb2 Tb 0.6657 0.6669 0.3171
Tb3 Tb 0.6676 0.6664 0.8169
Tb4 Tb 0.3340 0.3332 0.4865
Tb5 Tb 0.3343 0.3331 0.6829
Tb6 Tb 0.3329 0.3336 0.9860
Tb7 Tb 0.6660 0.6668 0.5135
Tb8 Tb 0.6671 0.6664 0.0140
Ce1 Ce 0.9990 0.0014 0.3516
Ce2 Ce 0.0010 0.9986 0.6484
Ce3 Ce 0.0003 0.0012 0.8519
Ce4 Ce 0.9997 0.9988 0.1481
# **Space-group type**: P-1, No. 2
# **M_tot**: 0.134 μB/atom


[3]
# TbCeSe PBE-GGA optimized geometry
data_TbCeSe
_cell_length_a 4.0649
_cell_length_b 8.1318
_cell_length_c 8.6709
_cell_angle_alpha 90.00
_cell_angle_beta 90.00
_cell_angle_gamma 90.00
_symmetry_space_group_name_H-M 'P 1'
_symmetry_Int_Tables_number 1
loop_
_symmetry_equiv_pos_as_xyz
'x,y,z'
loop_
_atom_site_label
_atom_site_type_symbol
_atom_site_fract_x
_atom_site_fract_y
_atom_site_fract_z
Ce1 Ce 0.2502 0.3749 0.0001
Ce2 Ce 0.2498 0.8749 0.0001
Ce3 Ce 0.7502 0.1251 0.9999
Ce4 Ce 0.7498 0.6251 0.9999
Tb1 Tb 0.2499 0.6250 0.3658
Tb2 Tb 0.7499 0.8750 0.6342
Tb3 Tb 0.2501 0.1250 0.3658
Tb4 Tb 0.7501 0.3750 0.6342
Se1 Se 0.7499 0.8751 0.2889
Se2 Se 0.7501 0.3751 0.2889
Se3 Se 0.2499 0.6249 0.7111
Se4 Se 0.2501 0.1249 0.7111
# **Space-group type**: P4/nmm, No. 129
# **M_tot**: 0.002 μB/atom
# **Polymorph energy (0 for the lowest one)**: 0 meV per atom


[4]
# Tb4CeSe5 PBE-GGA optimized geometry
data_Tb4CeSe5
_cell_length_a 4.1013
_cell_length_b 7.1527
_cell_length_c 9.1993
_cell_angle_alpha 75.16
_cell_angle_beta 77.12
_cell_angle_gamma 73.34
_symmetry_space_group_name_H-M 'P 1'
_symmetry_Int_Tables_number 1
loop_
_symmetry_equiv_pos_as_xyz
'x,y,z'
loop_
_atom_site_label
_atom_site_type_symbol
_atom_site_fract_x
_atom_site_fract_y
_atom_site_fract_z
Tb1 Tb 0.7978 0.6038 0.8006
Tb2 Tb 0.4014 0.8003 0.3969
Tb3 Tb 0.5986 0.1997 0.6031
Tb4 Tb 0.2022 0.3962 0.1994
Se1 Se 0.3967 0.3099 0.8967
Se2 Se 0.6033 0.6901 0.1033
Se3 Se 0.7969 0.1000 0.3063
Se4 Se 0.2031 0.9000 0.6937
Se5 Se 0.0000 0.5000 0.5000
Ce1 Ce 0.0000 0.0000 0.0000
# **Space-group type**: C2/m, No. 12
# **M_tot**: 0.112 μB/atom
# **Polymorph energy (0 for the lowest one)**: 0 meV per atom


[5]
# Tb3Ce5Se8 PBE-GGA optimized geometry
data_Tb3Ce5Se8
_cell_length_a 8.3045
_cell_length_b 8.3045
_cell_length_c 8.3424
_cell_angle_alpha 60.15
_cell_angle_beta 60.15
_cell_angle_gamma 60.00
_symmetry_space_group_name_H-M 'P 1'
_symmetry_Int_Tables_number 1
loop_
_symmetry_equiv_pos_as_xyz
'x,y,z'
loop_
_atom_site_label
_atom_site_type_symbol
_atom_site_fract_x
_atom_site_fract_y
_atom_site_fract_z
Ce1 Ce 0.0000 0.5000 0.0000
Ce2 Ce 0.0000 0.0000 0.0000
Ce3 Ce 0.5000 0.5000 0.5000
Ce4 Ce 0.5000 0.5000 0.0000
Ce5 Ce 0.5000 0.0000 0.0000
Se1 Se 0.2501 0.7567 0.7431
Se2 Se 0.7567 0.2501 0.7431
Se3 Se 0.2433 0.7499 0.2569
Se4 Se 0.7532 0.7532 0.7404
Se5 Se 0.7499 0.7499 0.2569
Se6 Se 0.7499 0.2433 0.2569
Se7 Se 0.2468 0.2468 0.2596
Se8 Se 0.2501 0.2501 0.7431
Tb1 Tb 0.0000 0.0000 0.5000
Tb2 Tb 0.0000 0.5000 0.5000
Tb3 Tb 0.5000 0.0000 0.5000
# **Space-group type**: R-3m, No. 166
# **M_tot**: 0.278 μB/atom


[6]
# TbCe3Se4 PBE-GGA optimized geometry
data_TbCe3Se4
_cell_length_a 4.1603
_cell_length_b 7.2373
_cell_length_c 7.2373
_cell_angle_alpha 109.33
_cell_angle_beta 90.00
_cell_angle_gamma 90.00
_symmetry_space_group_name_H-M 'P 1'
_symmetry_Int_Tables_number 1
loop_
_symmetry_equiv_pos_as_xyz
'x,y,z'
loop_
_atom_site_label
_atom_site_type_symbol
_atom_site_fract_x
_atom_site_fract_y
_atom_site_fract_z
Tb1 Tb 0.5000 0.0000 0.0000
Ce1 Ce 0.5000 0.5000 0.5000
Ce2 Ce 0.0000 0.5000 0.0000
Ce3 Ce 0.0000 0.0000 0.5000
Se1 Se 0.5000 0.7536 0.2464
Se2 Se 0.5000 0.2464 0.7536
Se3 Se 0.0000 0.7568 0.7568
Se4 Se 0.0000 0.2432 0.2432
# **Space-group type**: Cmmm, No. 65
# **M_tot**: 0.336 μB/atom


[7]
# Tb3Ce2Se8 PBE-GGA optimized geometry
data_Tb3Ce2Se8
_cell_length_a 6.9870
_cell_length_b 8.2329
_cell_length_c 8.4570
_cell_angle_alpha 119.13
_cell_angle_beta 106.76
_cell_angle_gamma 90.00
_symmetry_space_group_name_H-M 'P 1'
_symmetry_Int_Tables_number 1
loop_
_symmetry_equiv_pos_as_xyz
'x,y,z'
loop_
_atom_site_label
_atom_site_type_symbol
_atom_site_fract_x
_atom_site_fract_y
_atom_site_fract_z
Tb1 Tb 0.0000 0.2600 0.0000
Tb2 Tb 0.0000 0.7400 0.0000
Tb3 Tb 0.5000 0.0000 0.0000
Se1 Se 0.4132 0.8899 0.2481
Se2 Se 0.5868 0.1101 0.7519
Se3 Se 0.9216 0.1168 0.2335
Se4 Se 0.0784 0.8832 0.7665
Se5 Se 0.8929 0.6114 0.2228
Se6 Se 0.5868 0.6418 0.7519
Se7 Se 0.4132 0.3582 0.2481
Se8 Se 0.1071 0.3886 0.7772
Ce1 Ce 0.6691 0.7405 0.4811
Ce2 Ce 0.3309 0.2595 0.5189
# **Space-group type**: C2/m, No. 12
# **M_tot**: 0.079 μB/atom
# **Polymorph energy (0 for the lowest one)**: 0 meV per atom


[8]
# Tb2Ce2Se5 PBE-GGA optimized geometry
data_Tb2Ce2Se5
_cell_length_a 7.8097
_cell_length_b 8.3794
_cell_length_c 8.3794
_cell_angle_alpha 124.22
_cell_angle_beta 90.00
_cell_angle_gamma 90.00
_symmetry_space_group_name_H-M 'P 1'
_symmetry_Int_Tables_number 1
loop_
_symmetry_equiv_pos_as_xyz
'x,y,z'
loop_
_atom_site_label
_atom_site_type_symbol
_atom_site_fract_x
_atom_site_fract_y
_atom_site_fract_z
Se1 Se 0.1530 0.4767 0.2077
Se2 Se 0.5000 0.5000 0.5000
Se3 Se 0.0000 0.0000 0.0000
Se4 Se 0.8470 0.7923 0.5233
Se5 Se 0.1530 0.2077 0.4767
Se6 Se 0.3470 0.7077 0.9767
Se7 Se 0.6530 0.0233 0.2923
Se8 Se 0.3470 0.9767 0.7077
Se9 Se 0.8470 0.5233 0.7923
Se10 Se 0.6530 0.2923 0.0233
Ce1 Ce 0.5000 0.3024 0.6976
Ce2 Ce 0.0000 0.1976 0.8024
Ce3 Ce 0.5000 0.6976 0.3024
Ce4 Ce 0.0000 0.8024 0.1976
Tb1 Tb 0.3446 0.1529 0.1529
Tb2 Tb 0.6554 0.8471 0.8471
Tb3 Tb 0.1554 0.6529 0.6529
Tb4 Tb 0.8446 0.3471 0.3471
# **Space-group type**: Cmce, No. 64
# **M_tot**: 0.381 μB/atom


[9]
# TbCe4Se5 PBE-GGA optimized geometry
data_TbCe4Se5
_cell_length_a 4.1781
_cell_length_b 4.1781
_cell_length_c 15.0574
_cell_angle_alpha 97.97
_cell_angle_beta 97.97
_cell_angle_gamma 90.00
_symmetry_space_group_name_H-M 'P 1'
_symmetry_Int_Tables_number 1
loop_
_symmetry_equiv_pos_as_xyz
'x,y,z'
loop_
_atom_site_label
_atom_site_type_symbol
_atom_site_fract_x
_atom_site_fract_y
_atom_site_fract_z
Ce1 Ce 0.6001 0.6001 0.2003
Ce2 Ce 0.8007 0.8007 0.6013
Ce3 Ce 0.3999 0.3999 0.7997
Ce4 Ce 0.1993 0.1993 0.3987
Se1 Se 0.0979 0.0979 0.1959
Se2 Se 0.9021 0.9021 0.8041
Se3 Se 0.7002 0.7002 0.4005
Se4 Se 0.5000 0.5000 0.0000
Se5 Se 0.2998 0.2998 0.5995
Tb1 Tb 0.0000 0.0000 0.0000
# **Space-group type**: I4/mmm, No. 139
# **M_tot**: 0.347 μB/atom


[10]
# Tb3CeSe6 PBE-GGA optimized geometry
data_Tb3CeSe6
_cell_length_a 4.1544
_cell_length_b 11.6573
_cell_length_c 11.9458
_cell_angle_alpha 108.96
_cell_angle_beta 90.00
_cell_angle_gamma 90.00
_symmetry_space_group_name_H-M 'P 1'
_symmetry_Int_Tables_number 1
loop_
_symmetry_equiv_pos_as_xyz
'x,y,z'
loop_
_atom_site_label
_atom_site_type_symbol
_atom_site_fract_x
_atom_site_fract_y
_atom_site_fract_z
Se1 Se 0.2500 0.0837 0.9037
Se2 Se 0.7500 0.1164 0.4642
Se3 Se 0.2500 0.1949 0.2506
Se4 Se 0.2500 0.5189 0.3854
Se5 Se 0.7500 0.8051 0.7494
Se6 Se 0.2500 0.8836 0.5358
Se7 Se 0.7500 0.3941 0.0602
Se8 Se 0.7500 0.7407 0.2739
Se9 Se 0.7500 0.4811 0.6146
Se10 Se 0.2500 0.6059 0.9398
Se11 Se 0.2500 0.2593 0.7261
Se12 Se 0.7500 0.9163 0.0963
Tb1 Tb 0.7500 0.1586 0.0847
Tb2 Tb 0.7500 0.6807 0.5002
Tb3 Tb 0.2500 0.3193 0.4998
Tb4 Tb 0.2500 0.5628 0.1667
Tb5 Tb 0.2500 0.8414 0.9153
Tb6 Tb 0.7500 0.4372 0.8333
Ce1 Ce 0.2500 0.9534 0.3061
Ce2 Ce 0.7500 0.0466 0.6939
# **Space-group type**: P2_1/m, No. 11
# **M_tot**: 0.098 μB/atom


[11]
# TbCeSe3 PBE-GGA optimized geometry
data_TbCeSe3
_cell_length_a 4.1300
_cell_length_b 7.1002
_cell_length_c 9.1087
_cell_angle_alpha 90.00
_cell_angle_beta 90.00
_cell_angle_gamma 90.00
_symmetry_space_group_name_H-M 'P 1'
_symmetry_Int_Tables_number 1
loop_
_symmetry_equiv_pos_as_xyz
'x,y,z'
loop_
_atom_site_label
_atom_site_type_symbol
_atom_site_fract_x
_atom_site_fract_y
_atom_site_fract_z
Se1 Se 0.0000 0.2293 0.3321
Se2 Se 0.0000 0.7707 0.3321
Se3 Se 0.5000 0.5000 0.0685
Se4 Se 0.5000 0.7293 0.6679
Se5 Se 0.0000 0.0000 0.9315
Se6 Se 0.5000 0.2707 0.6679
Ce1 Ce 0.0000 0.5000 0.8462
Ce2 Ce 0.5000 0.0000 0.1538
Tb1 Tb 0.5000 0.5000 0.3990
Tb2 Tb 0.0000 0.0000 0.6010
# **Space-group type**: Pmmn, No. 59
# **M_tot**: 0.191 μB/atom
# **Polymorph energy (0 for the lowest one)**: 50 meV per atom


[12]
# Tb2Ce2Se7 PBE-GGA optimized geometry
data_Tb2Ce2Se7
_cell_length_a 4.1252
_cell_length_b 8.8692
_cell_length_c 8.8692
_cell_angle_alpha 61.67
_cell_angle_beta 76.55
_cell_angle_gamma 76.55
_symmetry_space_group_name_H-M 'P 1'
_symmetry_Int_Tables_number 1
loop_
_symmetry_equiv_pos_as_xyz
'x,y,z'
loop_
_atom_site_label
_atom_site_type_symbol
_atom_site_fract_x
_atom_site_fract_y
_atom_site_fract_z
Se1 Se 0.3898 0.7160 0.5044
Se2 Se 0.8163 0.0741 0.2933
Se3 Se 0.1387 0.1424 0.5801
Se4 Se 0.8613 0.4199 0.8576
Se5 Se 0.5000 0.0096 0.9904
Se6 Se 0.6102 0.4956 0.2841
Se7 Se 0.1837 0.7067 0.9259
Tb1 Tb 0.5000 0.3288 0.6712
Tb2 Tb 0.0000 0.7845 0.2155
Ce1 Ce 0.2603 0.3278 0.1516
Ce2 Ce 0.7397 0.8484 0.6722
# **Space-group type**: Imm2, No. 44
# **M_tot**: 0.034 μB/atom


no.,uncorrected formation energy (meV/atom)
1,-1519.6
2,-1841.1
3,-1068.0
4,-1787.8
5,-1810.6
6,-1813.1
7,-1760.4
8,-1748.2
9,-1808.5
10,-1871.4
11,-1813.1
12,-1711.6